# 1
DFT (meta-GGA SCAN) results for a crystal of HfCoF2 relaxed with PBEsol.

Values from the calculation:
size of the total moment	2.1	μB per cell
space-group type	R-3m (166)
total DFT energy (no corrections)	-23.3182	eV/atom

```
4
Lattice="2.7758 0.0000 0.0000 1.3879 2.4039 0.0000 1.3879 0.8013 7.9798" Properties=species:S:1:pos:R:3 pbc="T T T"
Co 0.0000 0.0000 0.0000
Hf 2.7758 1.6026 3.9899
F 4.1637 2.4039 2.4407
F 1.3879 0.8013 5.5391
```

***

# 2
DFT (meta-GGA SCAN) results for a crystal of HfIn2CoF relaxed with PBEsol.

Values from the calculation:
size of the total moment	1.5	μB per cell
space-group type	P4/mmm (123)
total DFT energy (no corrections)	-30.3536	eV/atom

```
5
Lattice="3.7172 0.0000 0.0000 0.0000 4.8652 0.0000 0.0000 0.0000 4.8652" Properties=species:S:1:pos:R:3 pbc="T T T"
F 0.0000 0.0000 0.0000
Hf 1.8586 2.4326 2.4326
In 0.0000 0.0000 2.4326
In 0.0000 2.4326 0.0000
Co 1.8586 0.0000 0.0000
```

***

# 3
DFT (meta-GGA SCAN) results for a crystal of HfCoNF2 relaxed with PBEsol.

Values from the calculation:
size of the total moment	1.6	μB per cell
space-group type	P4/mmm (123)
total DFT energy (no corrections)	-20.2252	eV/atom

```
5
Lattice="3.6603 0.0000 0.0000 0.0000 3.6603 0.0000 0.0000 0.0000 3.9584" Properties=species:S:1:pos:R:3 pbc="T T T"
F 0.0000 1.8302 0.0000
F 1.8302 0.0000 0.0000
Hf 1.8302 1.8302 1.9792
N 0.0000 0.0000 1.9792
Co 0.0000 0.0000 0.0000
```

***

# 4
DFT (meta-GGA SCAN) results for a crystal of CoHgF3 relaxed with PBEsol.

Values from the calculation:
size of the total moment	2.8	μB per cell
space-group type	Pm-3m (221)
total DFT energy (no corrections)	-19.8072	eV/atom

```
5
Lattice="4.4532 0.0000 0.0000 0.0000 4.4532 0.0000 0.0000 0.0000 4.4532" Properties=species:S:1:pos:R:3 pbc="T T T"
F 0.0000 0.0000 2.2266
F 2.2266 0.0000 0.0000
F 0.0000 2.2266 0.0000
Co 2.2266 2.2266 2.2266
Hg 0.0000 0.0000 0.0000
```

***

# 5
DFT (meta-GGA SCAN) results for a crystal of CoHgNF2 relaxed with PBEsol.

Values from the calculation:
size of the total moment	1.4	μB per cell
space-group type	P4/mmm (123)
total DFT energy (no corrections)	-20.9399	eV/atom

```
5
Lattice="-1.2320 -1.8950 2.7790 -2.1234 -2.3050 -2.5132 3.1178 -2.5116 -0.3305" Properties=species:S:1:pos:R:3 pbc="T T T"
Hg -0.1188 -3.3559 -0.0324
Co 0.0000 0.0000 0.0000
F 1.5589 -1.2558 -0.1653
F -1.0617 -1.1525 -1.2566
N -0.6160 -0.9475 1.3895
```

***

# 6
DFT (meta-GGA SCAN) results for a crystal of CoReHgF2 relaxed with PBEsol.

Values from the calculation:
size of the total moment	6.4	μB per cell
space-group type	P4/mmm (123)
total DFT energy (no corrections)	-32.8243	eV/atom

```
5
Lattice="3.8219 0.0000 0.0000 0.0000 3.8219 0.0000 0.0000 0.0000 5.6301" Properties=species:S:1:pos:R:3 pbc="T T T"
F 1.9110 0.0000 0.0000
F 0.0000 1.9110 0.0000
Co 0.0000 0.0000 0.0000
Hg 0.0000 0.0000 2.8150
Re 1.9110 1.9110 2.8150
```

***

# 7
DFT (meta-GGA SCAN) results for a crystal of CoI2F relaxed with PBEsol.

Values from the calculation:
size of the total moment	4.0	μB per cell
space-group type	I-42d (122)
total DFT energy (no corrections)	-23.6920	eV/atom

```
8
Lattice="6.3070 0.0000 0.0000 -3.1535 5.8881 -0.0409 0.0000 3.4146 5.3027" Properties=species:S:1:pos:R:3 pbc="T T T"
Co 3.1535 5.5050 3.9566
Co 0.0000 0.0000 0.0000
F 3.1535 1.7073 2.6513
F 0.0000 3.7977 1.3052
I 4.7302 3.7594 3.5420
I -1.8598 7.4039 4.6092
I 1.8598 5.6966 1.9579
I 1.5767 1.7456 0.4146
```

***

# 8
DFT (meta-GGA SCAN) results for a crystal of LiCoIF2 relaxed with PBEsol.

Values from the calculation:
size of the total moment	3.0	μB per cell
space-group type	P4/mmm (123)
total DFT energy (no corrections)	-14.2278	eV/atom

```
5
Lattice="3.7829 0.0000 0.0000 0.0000 3.7829 0.0000 0.0000 0.0000 6.9707" Properties=species:S:1:pos:R:3 pbc="T T T"
F 1.8915 0.0000 0.0000
F 0.0000 1.8915 0.0000
Co 0.0000 0.0000 0.0000
I 1.8915 1.8915 3.4854
Li 0.0000 0.0000 3.4854
```

***

# 9
DFT (meta-GGA SCAN) results for a crystal of CoMoIF2 relaxed with PBEsol.

Values from the calculation:
size of the total moment	5.6	μB per cell
space-group type	P4/mmm (123)
total DFT energy (no corrections)	-19.7071	eV/atom

```
5
Lattice="-0.4625 3.2795 2.0030 -2.4813 -1.7954 2.3666 3.9263 -1.3397 3.1003" Properties=species:S:1:pos:R:3 pbc="T T T"
F -1.2407 -0.8977 1.1833
F -0.2313 1.6397 1.0015
Mo 1.9632 -0.6699 1.5501
Co 0.0000 0.0000 0.0000
I 0.4912 0.0722 3.7349
```

***

# 10
DFT (meta-GGA SCAN) results for a crystal of CoI2NF relaxed with PBEsol.

Values from the calculation:
ΔE to the lowest computed polymorph	1080	meV/atom
size of the total moment	4.1	μB per cell
space-group type	P4/mmm (123)
total DFT energy (no corrections)	-19.3298	eV/atom

```
5
Lattice="-3.4471 -1.0355 0.8367 -1.1129 -0.3804 -5.0558 1.5029 -4.9683 0.0429" Properties=species:S:1:pos:R:3 pbc="T T T"
Co -1.5286 -3.1921 -2.0881
F 0.0000 0.0000 0.0000
I -0.5565 -0.1902 -2.5279
I 0.7514 -2.4842 0.0215
N -1.7235 -0.5177 0.4184
```

***

# 11
DFT (meta-GGA SCAN) results for a crystal of CoI2NF relaxed with PBEsol.

Values from the calculation:
ΔE to the lowest computed polymorph	0	meV/atom
size of the total moment	0.8	μB per cell
space-group type	P4/mmm (123)
total DFT energy (no corrections)	-20.4096	eV/atom

```
5
Lattice="3.3297 0.0000 0.0000 0.0000 5.2468 0.0000 0.0000 0.0000 5.2468" Properties=species:S:1:pos:R:3 pbc="T T T"
N 1.6649 0.0000 0.0000
I 0.0000 2.6234 0.0000
I 0.0000 0.0000 2.6234
F 1.6649 2.6234 2.6234
Co 0.0000 0.0000 0.0000
```

***

# 12
DFT (meta-GGA SCAN) results for a crystal of CoIrO2F relaxed with PBEsol.

Values from the calculation:
size of the total moment	2.6	μB per cell
space-group type	P4/mmm (123)
total DFT energy (no corrections)	-21.0730	eV/atom

```
5
Lattice="-2.0165 -2.9912 -0.3623 1.1994 -0.3970 -3.3983 4.6218 -3.3608 2.0238" Properties=species:S:1:pos:R:3 pbc="T T T"
O 0.5997 -0.1985 -1.6992
O -1.0082 -1.4956 -0.1812
Ir 0.0000 0.0000 0.0000
Co 1.9024 -3.3745 -0.8684
F 2.3109 -1.6804 1.0119
```

***

# 13
DFT (meta-GGA SCAN) results for a crystal of KCoF3 relaxed with PBEsol.

Values from the calculation:
size of the total moment	1.0	μB per cell
space-group type	Pm-3m (221)
total DFT energy (no corrections)	-9.6880	eV/atom

```
5
Lattice="4.0241 0.0000 0.0000 0.0000 4.0241 0.0000 0.0000 0.0000 4.0241" Properties=species:S:1:pos:R:3 pbc="T T T"
F 2.0121 0.0000 2.0121
F 0.0000 2.0121 2.0121
F 2.0121 2.0121 0.0000
K 0.0000 0.0000 0.0000
Co 2.0121 2.0121 2.0121
```